{"formula": "TmB4Rh", "functional": "meta-GGA SCAN", "state": "PBEsol geometry", "lattice": [[-0.142, -2.632, -2.272], [4.843, 2.040, -2.666], [6.490, -6.340, 6.938]], "species": ["Tm", "Tm", "Tm", "Tm", "B", "B", "B", "B", "B", "B", "B", "B", "B", "B", "B", "B", "B", "B", "B", "B", "Rh", "Rh", "Rh", "Rh"], "frac_coords": [[0.000, 0.131, 0.649], [0.000, 0.869, 0.351], [0.000, 0.631, 0.851], [0.000, 0.369, 0.149], [0.500, 0.792, 0.687], [0.500, 0.208, 0.313], [0.500, 0.292, 0.813], [0.500, 0.708, 0.187], [0.500, 0.865, 0.531], [0.500, 0.135, 0.469], [0.500, 0.365, 0.969], [0.500, 0.635, 0.031], [0.500, 0.022, 0.193], [0.500, 0.978, 0.807], [0.500, 0.522, 0.307], [0.500, 0.478, 0.693], [0.500, 0.113, 0.047], [0.500, 0.887, 0.953], [0.500, 0.613, 0.453], [0.500, 0.387, 0.547], [0.000, 0.641, 0.594], [0.000, 0.359, 0.406], [0.000, 0.141, 0.906], [0.000, 0.859, 0.094]], "magmom_total_mub_per_cell": 0.00, "formation_enthalpy_0k_mev_per_atom": -724, "volume_a3_per_atom": 9.8}

=====

{"formula": "TmB4Rh4", "functional": "meta-GGA SCAN", "state": "PBEsol geometry", "lattice": [[-3.333, 3.899, -1.181], [-4.074, -3.174, 1.018], [0.058, 2.172, 7.004]], "species": ["Tm", "Tm", "B", "B", "B", "B", "B", "B", "B", "B", "Rh", "Rh", "Rh", "Rh", "Rh", "Rh", "Rh", "Rh"], "frac_coords": [[0.000, 0.000, 0.000], [0.500, 0.500, 0.500], [0.830, 0.500, 0.149], [0.170, 0.500, 0.149], [0.000, 0.330, 0.649], [0.000, 0.670, 0.649], [0.670, 0.000, 0.351], [0.330, 0.000, 0.351], [0.500, 0.170, 0.851], [0.500, 0.830, 0.851], [0.251, 0.500, 0.854], [0.749, 0.500, 0.854], [0.000, 0.751, 0.354], [0.000, 0.249, 0.354], [0.249, 0.000, 0.646], [0.751, 0.000, 0.646], [0.500, 0.749, 0.146], [0.500, 0.251, 0.146]], "magmom_total_mub_per_cell": 0.00, "formation_enthalpy_0k_mev_per_atom": -684, "volume_a3_per_atom": 11.3}

=====

{"formula": "BRhW3", "functional": "meta-GGA SCAN", "state": "PBEsol geometry", "lattice": [[-1.734, -1.215, 3.539], [3.714, -0.085, 1.791], [-0.455, 3.940, 1.130]], "species": ["B", "Rh", "W", "W", "W"], "frac_coords": [[0.000, 0.000, 0.000], [0.500, 0.500, 0.500], [0.000, 0.500, 0.000], [0.000, 0.000, 0.500], [0.500, 0.000, 0.000]], "magmom_total_mub_per_cell": 0.00, "formation_enthalpy_0k_mev_per_atom": 306, "volume_a3_per_atom": 14.0}

=====

{"formula": "B3RhW", "functional": "meta-GGA SCAN", "state": "PBEsol geometry", "lattice": [[4.049, 0.000, 0.000], [0.000, 4.049, 0.000], [0.000, 0.000, 4.049]], "species": ["B", "B", "B", "Rh", "W"], "frac_coords": [[0.000, 0.500, 0.000], [0.000, 0.000, 0.500], [0.500, 0.000, 0.000], [0.500, 0.500, 0.500], [0.000, 0.000, 0.000]], "magmom_total_mub_per_cell": 2.02, "formation_enthalpy_0k_mev_per_atom": 1545, "volume_a3_per_atom": 13.3}

=====

{"formula": "YB4Rh", "functional": "meta-GGA SCAN", "state": "PBEsol geometry", "lattice": [[-1.127, -2.781, -1.821], [1.480, -3.553, 4.510], [-10.500, 1.318, 4.484]], "species": ["Y", "Y", "Y", "Y", "B", "B", "B", "B", "B", "B", "B", "B", "B", "B", "B", "B", "B", "B", "B", "B", "Rh", "Rh", "Rh", "Rh"], "frac_coords": [[0.000, 0.369, 0.149], [0.000, 0.631, 0.851], [0.000, 0.869, 0.351], [0.000, 0.131, 0.649], [0.500, 0.790, 0.687], [0.500, 0.210, 0.313], [0.500, 0.290, 0.813], [0.500, 0.710, 0.187], [0.500, 0.864, 0.531], [0.500, 0.136, 0.469], [0.500, 0.364, 0.969], [0.500, 0.636, 0.031], [0.500, 0.023, 0.193], [0.500, 0.977, 0.807], [0.500, 0.523, 0.307], [0.500, 0.477, 0.693], [0.500, 0.112, 0.047], [0.500, 0.888, 0.953], [0.500, 0.612, 0.453], [0.500, 0.388, 0.547], [0.000, 0.859, 0.094], [0.000, 0.141, 0.906], [0.000, 0.359, 0.406], [0.000, 0.641, 0.594]], "magmom_total_mub_per_cell": 0.00, "formation_enthalpy_0k_mev_per_atom": -704, "volume_a3_per_atom": 10.0}

=====

{"formula": "ZnB2Rh", "functional": "meta-GGA SCAN", "state": "PBEsol geometry", "lattice": [[4.891, 0.000, 0.000], [0.000, 4.891, 0.000], [-2.446, -2.446, 4.490]], "species": ["Zn", "Zn", "B", "B", "B", "B", "Rh", "Rh"], "frac_coords": [[0.750, 0.250, 0.500], [0.500, 0.500, 0.000], [0.343, 0.875, 0.250], [0.907, 0.375, 0.250], [0.125, 0.093, 0.750], [0.625, 0.657, 0.750], [0.250, 0.750, 0.500], [0.000, 0.000, 0.000]], "magmom_total_mub_per_cell": 0.00, "formation_enthalpy_0k_mev_per_atom": 608, "volume_a3_per_atom": 13.4}

=====

{"formula": "Zn15B6Rh17", "functional": "meta-GGA SCAN", "state": "PBEsol geometry", "lattice": [[-0.520, -2.783, 0.223], [1.450, -1.141, -10.874], [14.453, -2.527, 2.193]], "species": ["Zn", "Zn", "Zn", "Zn", "Zn", "Zn", "Zn", "Zn", "Zn", "Zn", "Zn", "Zn", "Zn", "Zn", "Zn", "B", "B", "B", "B", "B", "B", "Rh", "Rh", "Rh", "Rh", "Rh", "Rh", "Rh", "Rh", "Rh", "Rh", "Rh", "Rh", "Rh", "Rh", "Rh", "Rh", "Rh"], "frac_coords": [[0.500, 0.500, 0.352], [0.500, 0.000, 0.650], [0.500, 0.384, 0.002], [0.500, 0.116, 0.993], [0.500, 0.616, 0.002], [0.500, 0.884, 0.993], [0.500, 0.374, 0.770], [0.500, 0.132, 0.236], [0.500, 0.626, 0.770], [0.500, 0.868, 0.236], [0.500, 0.298, 0.604], [0.500, 0.204, 0.398], [0.500, 0.702, 0.604], [0.500, 0.796, 0.398], [0.000, 0.000, 0.122], [0.500, 0.500, 0.532], [0.500, 0.000, 0.469], [0.500, 0.142, 0.820], [0.500, 0.357, 0.177], [0.500, 0.858, 0.820], [0.500, 0.643, 0.177], [0.000, 0.250, 0.891], [0.000, 0.242, 0.107], [0.000, 0.750, 0.891], [0.000, 0.758, 0.107], [0.000, 0.500, 0.643], [0.000, 0.000, 0.356], [0.000, 0.173, 0.717], [0.000, 0.330, 0.282], [0.000, 0.827, 0.717], [0.000, 0.670, 0.282], [0.000, 0.500, 0.134], [0.000, 0.000, 0.864], [0.000, 0.123, 0.529], [0.000, 0.377, 0.471], [0.000, 0.877, 0.529], [0.000, 0.623, 0.471], [0.000, 0.500, 0.882]], "magmom_total_mub_per_cell": 0.00, "formation_enthalpy_0k_mev_per_atom": -483, "volume_a3_per_atom": 12.2}

=====

{"formula": "Zn5B4Rh8", "functional": "meta-GGA SCAN", "state": "PBEsol geometry", "lattice": [[-0.098, -2.311, 1.617], [-2.211, -4.575, -6.670], [9.229, 0.781, 1.675]], "species": ["Zn", "Zn", "Zn", "Zn", "Zn", "B", "B", "B", "B", "Rh", "Rh", "Rh", "Rh", "Rh", "Rh", "Rh", "Rh"], "frac_coords": [[0.500, 0.802, 0.604], [0.500, 0.198, 0.396], [0.500, 0.647, 0.000], [0.500, 0.000, 0.000], [0.500, 0.353, 0.000], [0.500, 0.532, 0.690], [0.500, 0.842, 0.310], [0.500, 0.468, 0.310], [0.500, 0.158, 0.690], [0.000, 0.378, 0.756], [0.000, 0.622, 0.244], [0.000, 0.079, 0.814], [0.000, 0.921, 0.186], [0.000, 0.500, 0.500], [0.000, 0.734, 0.814], [0.000, 0.266, 0.186], [0.000, 0.000, 0.500]], "magmom_total_mub_per_cell": 0.00, "formation_enthalpy_0k_mev_per_atom": -490, "volume_a3_per_atom": 11.7}

=====

{"formula": "B3Ru2", "functional": "meta-GGA SCAN", "state": "PBEsol geometry", "lattice": [[2.894, 0.000, 0.000], [-1.447, 2.506, 0.000], [0.000, 0.000, 12.736]], "species": ["B", "B", "B", "B", "B", "B", "Ru", "Ru", "Ru", "Ru"], "frac_coords": [[0.667, 0.333, 0.250], [0.333, 0.667, 0.750], [0.333, 0.667, 0.969], [0.667, 0.333, 0.469], [0.333, 0.667, 0.531], [0.667, 0.333, 0.031], [0.333, 0.667, 0.140], [0.667, 0.333, 0.640], [0.667, 0.333, 0.860], [0.333, 0.667, 0.360]], "magmom_total_mub_per_cell": 0.00, "formation_enthalpy_0k_mev_per_atom": -375, "volume_a3_per_atom": 9.2}

=====

{"formula": "BRuS2", "functional": "meta-GGA SCAN", "state": "PBEsol geometry", "lattice": [[3.585, 0.000, 0.000], [1.793, 3.105, 0.000], [1.793, 1.035, 5.755]], "species": ["Ru", "S", "S", "B"], "frac_coords": [[0.500, 0.500, 0.500], [0.900, 0.900, 0.299], [0.100, 0.100, 0.701], [0.000, 0.000, 0.000]], "magmom_total_mub_per_cell": 0.00, "formation_energy_uncorrected_mev_per_atom": 139.1, "volume_a3_per_atom": 16.0}

=====

{"formula": "BSbRu3", "functional": "meta-GGA SCAN", "state": "PBEsol geometry", "lattice": [[-2.763, 1.436, -2.631], [2.074, -1.666, -3.088], [-2.163, -3.432, 0.399]], "species": ["Sb", "B", "Ru", "Ru", "Ru"], "frac_coords": [[0.500, 0.500, 0.500], [0.000, 0.000, 0.000], [0.000, 0.500, 0.000], [0.000, 0.000, 0.500], [0.500, 0.000, 0.000]], "magmom_total_mub_per_cell": 0.00, "formation_energy_uncorrected_mev_per_atom": -11.6, "volume_a3_per_atom": 13.5, "e_above_lowest_polymorph_mev_per_atom": 0.0}

=====

{"formula": "BSbRu3", "functional": "meta-GGA SCAN", "state": "PBEsol geometry", "lattice": [[4.755, 0.000, 0.000], [0.000, 4.755, 0.000], [0.000, 0.000, 4.755]], "species": ["Sb", "B", "Ru", "Ru", "Ru"], "frac_coords": [[0.000, 0.000, 0.000], [0.500, 0.500, 0.500], [0.000, 0.500, 0.000], [0.000, 0.000, 0.500], [0.500, 0.000, 0.000]], "magmom_total_mub_per_cell": 4.87, "formation_energy_uncorrected_mev_per_atom": 2602.6, "volume_a3_per_atom": 21.5, "e_above_lowest_polymorph_mev_per_atom": 2614.2}